VASP calculation (GGA-PBE) on In2SbAu3 after structural relaxation.

a b c (Å): 7.0977 7.0977 8.0149
angles (deg): 106.99 106.99 48.37
Positions (direct):
In1 0.1673 0.1706 0.0838
In2 0.1706 0.1673 0.5838
In3 0.8294 0.8327 0.4162
In4 0.8327 0.8294 0.9162
Sb1 0.4975 0.5025 0.2500
Sb2 0.5025 0.4975 0.7500
Au1 0.0027 0.9973 0.7500
Au2 0.3329 0.3359 0.4161
Au3 0.3359 0.3329 0.9161
Au4 0.6641 0.6671 0.0839
Au5 0.6671 0.6641 0.5839
Au6 0.9973 0.0027 0.2500

## Properties
**Energy relative to the elements, uncorrected**: -0.12 eV per atom
**E**: -3.360 eV per atom
**Magnetization**: 0.000 μB/cell
**Space group**: No. 15

VASP calculation (GGA-PBE) on InSbAu4 after structural relaxation.

a b c (Å): 5.6415 5.6415 5.6415
angles (deg): 60.00 60.00 60.00
Positions (direct):
In1 0.0000 0.0000 0.0000
Sb1 0.7500 0.7500 0.7500
Au1 0.3750 0.3750 0.3750
Au2 0.3750 0.3750 0.8750
Au3 0.3750 0.8750 0.3750
Au4 0.8750 0.3750 0.3750

## Properties
**Energy relative to the elements, uncorrected**: 0.00 eV per atom
**E**: -3.333 eV per atom
**Magnetization**: 0.000 μB/cell
**Space group**: No. 216

VASP calculation (GGA-PBE) on InSbAu2 after structural relaxation.

a b c (Å): 5.0062 5.0062 5.0062
angles (deg): 60.00 60.00 60.00
Positions (direct):
In1 0.0000 0.0000 0.0000
Sb1 0.7500 0.7500 0.7500
Au1 0.2500 0.2500 0.2500
Au2 0.5000 0.5000 0.5000

## Properties
**Energy relative to the elements, uncorrected**: 0.15 eV per atom
**E**: -3.208 eV per atom
**Magnetization**: 0.000 μB/cell
**Space group**: No. 216

VASP calculation (GGA-PBE) on InSbAu2 after structural relaxation.

a b c (Å): 5.4855 5.4855 2.9427
angles (deg): 90.00 90.00 90.47
Positions (direct):
In1 0.0000 0.0000 0.0000
Sb1 0.5000 0.5000 0.0000
Au1 0.0000 0.5000 0.5000
Au2 0.5000 0.0000 0.5000

## Properties
**Energy relative to the elements, uncorrected**: 0.00 eV per atom
**E**: -3.352 eV per atom
**Magnetization**: 0.000 μB/cell
**Space group**: No. 65

VASP calculation (GGA-PBE) on In3SbAu4 after structural relaxation.

a b c (Å): 7.0140 7.0140 7.0140
angles (deg): 131.48 131.48 71.06
Positions (direct):
In1 0.0000 0.0000 0.0000
In2 0.2500 0.7500 0.5000
In3 0.7500 0.2500 0.5000
Sb1 0.5000 0.5000 0.0000
Au1 0.0000 0.5000 0.5000
Au2 0.2471 0.2471 0.0000
Au3 0.5000 0.0000 0.5000
Au4 0.7529 0.7529 0.0000

## Properties
**Energy relative to the elements, uncorrected**: -0.12 eV per atom
**E**: -3.298 eV per atom
**Magnetization**: 0.000 μB/cell
**Space group**: No. 139

VASP calculation (GGA-PBE) on InSbAu2 after structural relaxation.

a b c (Å): 6.2695 6.2695 6.2695
angles (deg): 151.90 129.43 58.86
Positions (direct):
In1 0.0000 0.0000 0.0000
Sb1 0.2850 0.7850 0.5000
Au1 0.5230 0.5230 0.0000
Au2 0.7541 0.2541 0.5000

## Properties
**Energy relative to the elements, uncorrected**: 0.03 eV per atom
**E**: -3.325 eV per atom
**Magnetization**: 0.000 μB/cell
**Space group**: No. 44